1.
A PBEsol-optimized structure of Ta4Co2N, computed with SCAN.

a = 8.1131 Å, b = 8.1131 Å, c = 8.1131 Å
α = 60.00°, β = 60.00°, γ = 60.00°
Atoms (fractional coordinates):
Ta 0.0000 0.0000 0.0000
Ta 0.0000 0.0000 0.5000
Ta 0.0000 0.5000 0.0000
Ta 0.1880 0.1880 0.5620
Ta 0.1880 0.5620 0.1880
Ta 0.1880 0.5620 0.5620
Ta 0.4380 0.4380 0.8120
Ta 0.4380 0.8120 0.4380
Ta 0.4380 0.8120 0.8120
Ta 0.5000 0.0000 0.0000
Ta 0.5620 0.1880 0.1880
Ta 0.5620 0.1880 0.5620
Ta 0.5620 0.5620 0.1880
Ta 0.8120 0.4380 0.4380
Ta 0.8120 0.4380 0.8120
Ta 0.8120 0.8120 0.4380
Co 0.1248 0.7917 0.7917
Co 0.2083 0.2083 0.2083
Co 0.2083 0.2083 0.8752
Co 0.2083 0.8752 0.2083
Co 0.7917 0.1248 0.7917
Co 0.7917 0.7917 0.1248
Co 0.7917 0.7917 0.7917
Co 0.8752 0.2083 0.2083
N 0.0000 0.5000 0.5000
N 0.5000 0.0000 0.5000
N 0.5000 0.5000 0.0000
N 0.5000 0.5000 0.5000

Summary:
Energy relative to the elements, uncorrected   -570 meV per atom
Crystal system   cubic
M_tot   2.8 μB/f.u.

***

2.
A PBEsol-optimized structure of Ni2PbAu, computed with SCAN.

a = 5.9630 Å, b = 5.9759 Å, c = 3.3610 Å
α = 90.00°, β = 90.00°, γ = 90.00°
Atoms (fractional coordinates):
Ni 0.2500 0.2500 0.0000
Ni 0.2500 0.7500 0.0000
Ni 0.7500 0.2500 0.0000
Ni 0.7500 0.7500 0.0000
Pb 0.0000 0.0000 0.5000
Pb 0.5000 0.5000 0.5000
Au 0.0000 0.5000 0.5000
Au 0.5000 0.0000 0.5000

Summary:
DFT formation energy   0.22 eV per atom
Crystal system   orthorhombic
M_tot   0.0 μB/f.u.